The following is a DFT calculation (GGA-PBE) of a relaxed structure of ThBe2SiNi4.

extended XYZ file:
```
8
Lattice="3.822 0.000 0.000 1.911 3.310 0.000 1.911 1.103 8.160" Properties=species:S:1:pos:R:3 pbc="T T T"
Be 1.911 1.103 2.508
Be 5.733 3.310 5.653
Ni 5.733 3.310 3.267
Ni 3.822 2.207 1.805
Ni 3.822 2.207 6.355
Ni 1.911 1.103 4.893
Th 0.000 0.000 0.000
Si 3.822 2.207 4.080
```

Properties
E_form (uncorrected)	-0.45	eV/atom